RePdCl6 | Alexandria | PBE | optimized geometry; space group = No. 12; Fermi-level density of states = 2.965 states/eV/cell
1.0
3.4588 -5.4614 0.0000
3.4588 5.4614 0.0000
-2.4882 0.0000 6.2686
Re Pd Cl
1 1 6
direct
0.0000 0.0000 0.0000
0.0000 0.0000 0.5000
0.0774 0.7821 0.2301
0.2179 0.9226 0.7699
0.3502 0.3502 0.2162
0.6498 0.6498 0.7838
0.7821 0.0774 0.2301
0.9226 0.2179 0.7699


Pa4TcTe3 | Alexandria | PBE | optimized geometry; space group = No. 65; Fermi-level density of states = 12.411 states/eV/cell
1.0
4.4741 -6.0742 0.0000
4.4741 6.0742 0.0000
0.0000 0.0000 4.0854
Pa Tc Te
4 1 3
direct
0.2107 0.2107 0.5000
0.2281 0.7719 0.0000
0.7719 0.2281 0.0000
0.7893 0.7893 0.5000
0.0000 0.0000 0.0000
0.0000 0.5000 0.5000
0.5000 0.0000 0.5000
0.5000 0.5000 0.0000


GdAl2Tc | Alexandria | PBE | optimized geometry; formation enthalpy at 0 K = -5 kJ/mol of formula units; space group = No. 166; Fermi-level density of states = 3.125 states/eV/cell
1.0
1.5379 0.8879 9.2671
-1.5379 0.8879 9.2671
0.0000 -1.7758 9.2671
Gd Al Tc
1 2 1
direct
0.0000 0.0000 0.0000
0.2354 0.2354 0.2354
0.7646 0.7646 0.7646
0.5000 0.5000 0.5000


MnCrW2 | Alexandria | PBE | optimized geometry; formation enthalpy at 0 K = 29 kJ/mol of formula units; space group = No. 225; Fermi-level density of states = 3.788 states/eV/cell
1.0
0.0000 3.0141 3.0141
3.0141 0.0000 3.0141
3.0141 3.0141 0.0000
Mn Cr W
1 1 2
direct
0.0000 0.0000 0.0000
0.5000 0.5000 0.5000
0.2500 0.2500 0.2500
0.7500 0.7500 0.7500


Number 1: E_tot -4.09 eV per atom. Number 2: E_tot -7.75 eV per atom. Number 3: E_tot -8.00 eV per atom. Number 4: E_tot -11.10 eV per atom.